The following is a DFT calculation (GGA-PBE) of a relaxed structure of HfP2RuO.

```
5
Lattice="4.781 0.000 0.000 0.000 4.781 0.000 0.000 0.000 3.635" Properties=species:S:1:pos:R:3 pbc="T T T"
Hf 0.000 0.000 0.000
P 0.000 2.390 1.817
P 2.390 0.000 1.817
Ru 2.390 2.390 1.817
O 2.390 2.390 0.000
```

The calculation puts the density of states at the Fermi level at 5.126 states/eV per cell. As for the energy above the most stable polymorph in this dataset: 0 meV/atom.


The following is a DFT calculation (GGA-PBE) of a relaxed structure of HfPRuO2.

```
5
Lattice="3.825 0.000 0.000 0.000 3.825 0.000 0.000 0.000 4.897" Properties=species:S:1:pos:R:3 pbc="T T T"
Hf 0.000 0.000 0.000
P 1.913 1.913 0.000
Ru 1.913 1.913 2.449
O 0.000 1.913 2.449
O 1.913 0.000 2.449
```

The calculation puts the density of states at the Fermi level at 5.125 states/eV per cell. As for the energy above the most stable polymorph in this dataset: 346 meV/atom.


The following is a DFT calculation (GGA-PBE) of a relaxed structure of HfPSO2.

```
5
Lattice="3.912 0.000 0.000 0.000 3.912 0.000 0.000 0.000 5.929" Properties=species:S:1:pos:R:3 pbc="T T T"
Hf 0.000 0.000 0.000
P 0.000 0.000 2.964
S 1.956 1.956 2.964
O 0.000 1.956 0.000
O 1.956 0.000 0.000
```

The final energy is -7.011 eV/atom. The calculation puts the density of states at the Fermi level at 3.584 states/eV per cell.


The following is a DFT calculation (GGA-PBE) of a relaxed structure of HfPSO2.

```
5
Lattice="3.737 0.000 0.000 0.000 3.737 0.000 0.000 0.000 4.753" Properties=species:S:1:pos:R:3 pbc="T T T"
Hf 0.000 0.000 0.000
P 1.868 1.868 0.000
S 1.868 1.868 2.376
O 0.000 1.868 2.376
O 1.868 0.000 2.376
```

The final energy is -6.185 eV/atom. The calculation puts the density of states at the Fermi level at 0.530 states/eV per cell.


The following is a DFT calculation (GGA-PBE) of a relaxed structure of HfP2SeO.

```
5
Lattice="5.180 0.000 0.000 0.000 5.180 0.000 0.000 0.000 3.901" Properties=species:S:1:pos:R:3 pbc="T T T"
Hf 0.000 0.000 0.000
P 0.000 2.590 0.000
P 2.590 0.000 0.000
Se 2.590 2.590 1.950
O 0.000 0.000 1.950
```

The calculation puts the density of states at the Fermi level at 4.133 states/eV per cell. As for the energy above the most stable polymorph in this dataset: 0 meV/atom.


The following is a DFT calculation (GGA-PBE) of a relaxed structure of HfPSeO2.

```
5
Lattice="3.858 0.000 0.000 0.000 3.858 0.000 0.000 0.000 4.999" Properties=species:S:1:pos:R:3 pbc="T T T"
Hf 0.000 0.000 0.000
P 1.929 1.929 0.000
Se 1.929 1.929 2.499
O 0.000 1.929 2.499
O 1.929 0.000 2.499
```

The calculation puts the density of states at the Fermi level at 1.820 states/eV per cell. As for the energy above the most stable polymorph in this dataset: 981 meV/atom.


The following is a DFT calculation (GGA-PBE) of a relaxed structure of HfP2SeO.

```
5
Lattice="4.721 0.000 0.000 0.000 4.721 0.000 0.000 0.000 3.766" Properties=species:S:1:pos:R:3 pbc="T T T"
Hf 0.000 0.000 0.000
P 0.000 2.361 1.883
P 2.361 0.000 1.883
Se 2.361 2.361 1.883
O 2.361 2.361 0.000
```

The calculation puts the density of states at the Fermi level at 1.182 states/eV per cell. As for the energy above the most stable polymorph in this dataset: 479 meV/atom.


The following is a DFT calculation (GGA-PBE) of a relaxed structure of HfPSeO2.

```
5
Lattice="3.943 0.000 0.000 0.000 3.943 0.000 0.000 0.000 5.907" Properties=species:S:1:pos:R:3 pbc="T T T"
Hf 0.000 0.000 0.000
P 0.000 0.000 2.953
Se 1.971 1.971 2.953
O 0.000 1.971 0.000
O 1.971 0.000 0.000
```

The calculation puts the density of states at the Fermi level at 3.693 states/eV per cell. As for the energy above the most stable polymorph in this dataset: 0 meV/atom.